Here is a relaxed RbTiW3 crystal from Alexandria via LeMat-Bulk. Energies are from GGA-PBE.

V (Å³ per atom): 22.5
Formation energy from the elements (meV/atom): 2384
Space-group type: Pm-3m
Total magnetization (μB per formula unit): 0.000
Energy above the lowest structure with this stoichiometry (kJ/mol of atoms): 0.0

Cell lengths 4.828, 4.828, 4.828 Å; angles 90.00, 90.00, 90.00 degrees
Sites, in units of the cell vectors:
Rb  0.500  0.500  0.500
W  0.000  0.500  0.000
W  0.000  0.000  0.500
W  0.500  0.000  0.000
Ti  0.000  0.000  0.000